# GGA-PBE Cs3MgAl, optimized geometry
data_Cs3MgAl
_chemical_formula_sum 'Cs3 Mg1 Al1'
_space_group_name_H-M_alt 'P m -3 m'
_space_group_IT_number 221
_space_group_name_Hall '-P 4 2 3'
_cell_length_a 7.324
_cell_length_b 7.324
_cell_length_c 7.324
_cell_angle_alpha 90.00
_cell_angle_beta 90.00
_cell_angle_gamma 90.00
loop_
_atom_site_label
_atom_site_type_symbol
_atom_site_fract_x
_atom_site_fract_y
_atom_site_fract_z
_atom_site_occupancy
Cs1 Cs 0.000 0.000 0.500 1
Mg1 Mg 0.500 0.500 0.500 1
Al1 Al 0.000 0.000 0.000 1
# ΔH_f (0 K) = 2.4 eV/f.u.
# V = 78.57 Å³ per atom
# DOS at the Fermi energy = 3.21 states/eV/cell
# size of the total moment = 0.00 μB/atom
# relative energy among the computed polymorphs = 0.000 eV/atom
# crystal system = cubic